(1)
Below is a geometry-optimized Ge2MoW structure, with properties calculated at the PBE level.

a = 6.369 Å, b = 6.369 Å, c = 6.369 Å
α = 90.00°, β = 90.00°, γ = 90.00°
Space group F-43m (No. 216)
One atom of each set of equivalent atoms:
Ge 0.000 0.000 0.000 (multiplicity 4)
Ge 0.250 0.250 0.250 (multiplicity 4)
Mo 0.250 0.250 0.750 (multiplicity 4)
W 0.000 0.000 0.500 (multiplicity 4)

Properties
total energy = -7.93 eV per atom

***

(2)
Below is a geometry-optimized YGeMo structure, with properties calculated at the PBE level.

a = 6.740 Å, b = 6.740 Å, c = 6.740 Å
α = 90.00°, β = 90.00°, γ = 90.00°
Space group F-43m (No. 216)
One atom of each set of equivalent atoms:
Y 0.000 0.000 0.000 (multiplicity 4)
Ge 0.250 0.250 0.750 (multiplicity 4)
Mo 0.250 0.250 0.250 (multiplicity 4)

Properties
total energy = -6.28 eV per atom

***

no.,magnetization (μB/f.u.)
1,0.00
2,3.35